1.
# Y2AgHg2 (GGA-PBE, relaxed)
# calculated total energy	-3.311	eV per atom
# DOS at the Fermi energy	0.5821	states/eV per atom
# relative energy among the computed polymorphs	0.330	eV/atom
# energy of formation from the pure elements	-3.28	kJ/mol of atoms
data_Y2AgHg2
_space_group_name_H-M_alt 'I 4/m m m'
_space_group_IT_number 139
_space_group_name_Hall '-I 4 2'
_cell_length_a 5.826
_cell_length_b 5.826
_cell_length_c 8.360
_cell_angle_alpha 90.00
_cell_angle_beta 90.00
_cell_angle_gamma 90.00
loop_
_atom_site_label
_atom_site_type_symbol
_atom_site_fract_x
_atom_site_fract_y
_atom_site_fract_z
Y1 Y 0.000 0.500 0.250
Ag1 Ag 0.000 0.000 0.000
Hg1 Hg 0.000 0.000 0.340

---

2.
# Y4Ag2Hg3 (GGA-PBE, relaxed)
# calculated total energy	-3.959	eV per atom
# DOS at the Fermi energy	0.7647	states/eV per atom
# energy of formation from the pure elements	-33.98	kJ/mol of atoms
data_Y4Ag2Hg3
_space_group_name_H-M_alt 'P -3 m 1'
_space_group_IT_number 164
_space_group_name_Hall '-P 3 2"'
_cell_length_a 5.1186
_cell_length_b 5.1186
_cell_length_c 9.7659
_cell_angle_alpha 90.00
_cell_angle_beta 90.00
_cell_angle_gamma 120.00
loop_
_atom_site_label
_atom_site_type_symbol
_atom_site_fract_x
_atom_site_fract_y
_atom_site_fract_z
Y1 Y 0.0000 0.0000 0.1704
Y2 Y 0.3333 0.6667 0.3882
Ag1 Ag 0.3333 0.6667 0.7067
Hg1 Hg 0.0000 0.0000 0.5000
Hg2 Hg 0.3333 0.6667 0.0517

---

3.
# YAg3Hg3 (GGA-PBE, relaxed)
# calculated total energy	-1.765	eV per atom
# DOS at the Fermi energy	0.6821	states/eV per atom
# energy of formation from the pure elements	49.20	kJ/mol of atoms
data_YAg3Hg3
_space_group_name_H-M_alt 'P m -3 n'
_space_group_IT_number 223
_space_group_name_Hall '-P 4n 2 3'
_cell_length_a 7.552
_cell_length_b 7.552
_cell_length_c 7.552
_cell_angle_alpha 90.00
_cell_angle_beta 90.00
_cell_angle_gamma 90.00
loop_
_atom_site_label
_atom_site_type_symbol
_atom_site_fract_x
_atom_site_fract_y
_atom_site_fract_z
Y1 Y 0.000 0.000 0.000
Ag1 Ag 0.000 0.250 0.500
Hg1 Hg 0.000 0.500 0.250

---

4.
# YAg2Hg2 (GGA-PBE, relaxed)
# calculated total energy	-2.777	eV per atom
# DOS at the Fermi energy	0.3559	states/eV per atom
# relative energy among the computed polymorphs	0.000	eV/atom
# energy of formation from the pure elements	-21.51	kJ/mol of atoms
data_YAg2Hg2
_space_group_name_H-M_alt 'P -1'
_space_group_IT_number 2
_cell_length_a 5.036
_cell_length_b 5.648
_cell_length_c 7.893
_cell_angle_alpha 75.85
_cell_angle_beta 89.84
_cell_angle_gamma 89.88
loop_
_space_group_symop_operation_xyz
'x,y,z'
'-x,-y,-z'
loop_
_atom_site_label
_atom_site_type_symbol
_atom_site_fract_x
_atom_site_fract_y
_atom_site_fract_z
Y1 Y 0.250 0.243 0.215
Ag1 Ag 0.250 0.642 0.430
Ag2 Ag 0.251 0.424 0.804
Hg1 Hg 0.249 0.805 0.023
Hg2 Hg 0.250 0.055 0.618